DFT (GGA-PBE) results for a relaxed structure of CaReSi4.

```
6
Lattice="0.173 -5.085 0.155 -2.518 -2.740 -3.474 2.569 -2.569 -3.565" Properties=species:S:1:pos:R:3 pbc="T T T"
Si 0.172 -6.459 -2.490
Si 1.388 -5.182 -4.378
Si -1.194 -5.269 -4.331
Si 0.084 -3.878 -2.569
Re 0.000 0.000 0.000
Ca 0.169 -7.795 -5.163
```

Summary:
Raw formation energy in eV per atom: 0.4514
DOS(E_F) in states/eV/cell: 4.66
Space group: F-43m (216)